Entry from Alexandria via LeMat-Bulk: crystalline BaSc2ZnGe at its relaxed geometry (PBE-GGA).

Its space group is P4/mmm. For the formation energy, the calculation gives 0.0719 eV/atom. The calculation puts the density at 4.2 g cm⁻³. Its total magnetization is 0.67 μB per formula unit.

POSCAR file:
```
BaSc2ZnGe
1.0
5.298 0.000 0.000
0.000 5.298 0.000
0.000 0.000 5.105
Ba Sc Zn Ge
1 2 1 1
Direct
0.000 0.000 0.000 Ba
0.000 0.500 0.500 Sc
0.500 0.000 0.500 Sc
0.500 0.500 0.000 Zn
0.500 0.500 0.500 Ge
```

---

Entry from Alexandria via LeMat-Bulk: crystalline BaGe2Se2 at its relaxed geometry (PBE-GGA).

For the formation energy from raw total energies, the calculation gives -0.57 eV per atom. Its space group is I4/mmm. The energy above the lowest structure with this stoichiometry comes out at 0.30 eV/f.u. The calculation puts the density at 5.5 g cm⁻³. Its total magnetization is 0.00 μB per formula unit.

POSCAR file:
```
BaGe2Se2
1.0
-1.986 1.986 8.484
1.986 -1.986 8.484
1.986 1.986 -8.484
Ba Ge Se
1 2 2
Direct
0.000 0.000 0.000 Ba
0.250 0.750 0.500 Ge
0.750 0.250 0.500 Ge
0.389 0.389 0.000 Se
0.611 0.611 0.000 Se
```